# 1
The following is a DFT calculation (PBE-GGA) of a geometry-optimized CsPu2MnTe4 structure.

Structure (POSCAR):
```
CsPu2MnTe4
1.0
-1.064 -3.283 2.973
2.810 -3.900 -6.790
14.714 0.490 5.807
Cs Pu Mn Te
2 4 2 8
Direct
0.109 0.218 0.750 Cs
0.891 0.782 0.250 Cs
0.371 0.741 0.555 Pu
0.629 0.259 0.055 Pu
0.629 0.259 0.445 Pu
0.371 0.741 0.945 Pu
0.832 0.665 0.750 Mn
0.168 0.335 0.250 Mn
0.258 0.515 0.108 Te
0.742 0.485 0.608 Te
0.742 0.485 0.892 Te
0.258 0.515 0.392 Te
0.000 0.000 0.500 Te
0.000 0.000 0.000 Te
0.425 0.850 0.750 Te
0.575 0.150 0.250 Te
```

Properties
Total DFT energy (no corrections) (eV per atom): -7.268
Formation energy from raw total energies (meV per atom): -861
Spin magnetization (μB per cell): 31.56
D(E_F) (states/eV per atom): 3.63
V (Å³/cell): 576.78



# 2
The following is a DFT calculation (PBE-GGA) of a geometry-optimized Sn2AuCl structure.

Structure (POSCAR):
```
Sn2AuCl
1.0
-4.487 1.959 1.292
-2.038 3.709 -2.781
-4.082 -0.924 -2.851
Au Sn Cl
1 2 1
Direct
0.500 0.500 0.500 Au
0.250 0.250 0.250 Sn
0.750 0.750 0.750 Sn
0.000 0.000 0.000 Cl
```

Properties
Total DFT energy (no corrections) (eV per atom): -3.429
Formation energy from raw total energies (meV per atom): -146
Spin magnetization (μB per cell): 0.00
D(E_F) (states/eV per atom): 0.56
V (Å³/cell): 91.82



# 3
The following is a DFT calculation (PBE-GGA) of a geometry-optimized Fe2ReIr structure.

Structure (POSCAR):
```
Fe2ReIr
1.0
-3.268 3.822 0.623
-4.248 -0.971 2.585
5.064 0.190 0.017
Fe Ir Re
2 1 1
Direct
0.006 0.006 0.000 Fe
0.494 0.494 0.000 Fe
0.750 0.250 0.500 Ir
0.250 0.750 0.500 Re
```

Properties
Total DFT energy (no corrections) (eV per atom): -9.389
ΔH_f (0 K) (eV/atom): 0.17
Spin magnetization (μB per cell): 5.04
D(E_F) (states/eV per atom): 0.92
V (Å³/cell): 54.54



# 4
The following is a DFT calculation (PBE-GGA) of a geometry-optimized Rb4InHg3 structure.

Structure (POSCAR):
```
Rb4InHg3
1.0
5.399 0.000 0.000
0.000 5.151 0.000
0.000 0.000 13.295
Hg Rb In
3 4 1
Direct
0.000 0.500 0.565 Hg
0.000 0.000 0.438 Hg
0.500 0.000 0.945 Hg
0.500 0.500 0.354 Rb
0.000 0.500 0.850 Rb
0.000 0.000 0.148 Rb
0.500 0.000 0.648 Rb
0.500 0.500 0.053 In
```

Properties
Total DFT energy (no corrections) (eV per atom): -1.113
ΔH_f (0 K) (eV/atom): -0.17
Spin magnetization (μB per cell): 0.00
D(E_F) (states/eV per atom): 0.54
V (Å³/cell): 369.66



# 5
The following is a DFT calculation (PBE-GGA) of a geometry-optimized La6Ga2Rh structure.

Structure (POSCAR):
```
La6Ga2Rh
1.0
7.078 0.000 0.000
0.000 7.078 0.000
0.000 0.000 13.313
La Ga Rh
12 4 2
Direct
0.303 0.303 0.346 La
0.697 0.697 0.346 La
0.197 0.803 0.846 La
0.803 0.197 0.846 La
0.197 0.803 0.154 La
0.803 0.197 0.154 La
0.303 0.303 0.654 La
0.697 0.697 0.654 La
0.295 0.295 0.000 La
0.705 0.705 0.000 La
0.205 0.795 0.500 La
0.795 0.205 0.500 La
0.000 0.000 0.329 Ga
0.500 0.500 0.829 Ga
0.500 0.500 0.171 Ga
0.000 0.000 0.671 Ga
0.000 0.000 0.000 Rh
0.500 0.500 0.500 Rh
```

Properties
Total DFT energy (no corrections) (eV per atom): -4.997
ΔH_f (0 K) (eV/atom): -0.22
Spin magnetization (μB per cell): 0.07
D(E_F) (states/eV per atom): 1.66
V (Å³/cell): 666.89



# 6
The following is a DFT calculation (PBE-GGA) of a geometry-optimized TcPbO5 structure.

Structure (POSCAR):
```
TcPbO5
1.0
5.443 1.772 0.201
0.246 5.719 0.201
2.340 3.082 8.085
Tc Pb O
2 2 10
Direct
0.978 0.003 0.968 Tc
0.003 0.978 0.468 Tc
0.533 0.463 0.725 Pb
0.463 0.533 0.225 Pb
0.271 0.131 0.914 O
0.282 0.757 0.530 O
0.131 0.271 0.414 O
0.931 0.056 0.776 O
0.301 0.723 0.972 O
0.757 0.282 0.030 O
0.056 0.931 0.276 O
0.756 0.817 0.615 O
0.723 0.301 0.472 O
0.817 0.756 0.115 O
```

Properties
Total DFT energy (no corrections) (eV per atom): -6.596
Formation energy from raw total energies (meV per atom): -1044
Spin magnetization (μB per cell): 2.02
V (Å³/cell): 243.12



# 7
The following is a DFT calculation (PBE-GGA) of a geometry-optimized Ce2MgSi2Ru5 structure.

Structure (POSCAR):
```
Ce2MgSi2Ru5
1.0
-0.917 1.651 2.755
-9.648 -0.965 -2.632
-0.505 -8.680 5.034
Ce Mg Si Ru
4 2 4 10
Direct
0.000 0.674 0.174 Ce
0.000 0.326 0.826 Ce
0.000 0.174 0.326 Ce
0.000 0.826 0.674 Ce
0.000 0.000 0.000 Mg
0.000 0.500 0.500 Mg
0.000 0.125 0.625 Si
0.000 0.875 0.375 Si
0.000 0.625 0.875 Si
0.000 0.375 0.125 Si
0.500 0.214 0.070 Ru
0.500 0.786 0.930 Ru
0.500 0.070 0.786 Ru
0.500 0.714 0.430 Ru
0.500 0.930 0.214 Ru
0.500 0.286 0.570 Ru
0.500 0.570 0.714 Ru
0.500 0.430 0.286 Ru
0.500 0.500 0.000 Ru
0.500 0.000 0.500 Ru
```

Properties
Total DFT energy (no corrections) (eV per atom): -7.600
Formation energy from raw total energies (meV per atom): -532
Spin magnetization (μB per cell): 0.00
D(E_F) (states/eV per atom): 0.57
V (Å³/cell): 337.14



# 8
The following is a DFT calculation (PBE-GGA) of a geometry-optimized LaNd5YEr2 structure.

Structure (POSCAR):
```
LaNd5YEr2
1.0
5.727 0.000 0.000
-2.863 10.152 0.000
0.000 0.000 10.732
La Nd Y Er
2 10 2 4
Direct
0.584 0.168 0.952 La
0.416 0.832 0.452 La
0.386 0.771 0.023 Nd
0.719 0.438 0.813 Nd
0.480 0.960 0.741 Nd
0.297 0.593 0.707 Nd
0.983 0.966 0.523 Nd
0.614 0.229 0.523 Nd
0.281 0.562 0.313 Nd
0.520 0.040 0.241 Nd
0.703 0.407 0.207 Nd
0.017 0.034 0.023 Nd
0.800 0.601 0.511 Y
0.200 0.399 0.011 Y
0.884 0.768 0.819 Er
0.113 0.226 0.734 Er
0.116 0.232 0.319 Er
0.887 0.774 0.234 Er
```

Properties
Total DFT energy (no corrections) (eV per atom): -4.780
ΔH_f (0 K) (eV/atom): 0.15
Spin magnetization (μB per cell): 0.00
D(E_F) (states/eV per atom): 1.60
V (Å³/cell): 623.90



# 9
The following is a DFT calculation (PBE-GGA) of a geometry-optimized CaPr2ErSb4 structure.

Structure (POSCAR):
```
CaPr2ErSb4
1.0
-4.020 -1.007 1.755
3.293 -5.414 4.438
2.187 3.190 6.840
Ca Pr Er Sb
1 2 1 4
Direct
0.500 0.500 0.000 Ca
0.000 0.000 0.000 Pr
0.500 0.000 0.500 Pr
0.000 0.500 0.500 Er
0.000 0.744 0.746 Sb
0.000 0.256 0.254 Sb
0.500 0.740 0.258 Sb
0.500 0.260 0.742 Sb
```

Properties
Total DFT energy (no corrections) (eV per atom): -5.119
Formation energy from raw total energies (meV per atom): -1042
Spin magnetization (μB per cell): 0.00
D(E_F) (states/eV per atom): 0.55
V (Å³/cell): 257.87



# 10
The following is a DFT calculation (PBE-GGA) of a geometry-optimized Tm6TlTe3Pb2 structure.

Structure (POSCAR):
```
Tm6TlTe3Pb2
1.0
-0.305 0.141 4.344
5.260 -6.973 0.595
5.837 7.671 -2.024
Tm Tl Te Pb
6 1 3 2
Direct
0.335 0.918 0.670 Tm
0.669 0.571 0.339 Tm
0.665 0.082 0.330 Tm
0.999 0.245 0.997 Tm
0.001 0.755 0.003 Tm
0.331 0.429 0.661 Tm
0.500 0.000 0.000 Tl
0.500 0.500 0.000 Te
0.832 0.172 0.663 Te
0.168 0.828 0.337 Te
0.836 0.675 0.672 Pb
0.164 0.325 0.328 Pb
```

Properties
Total DFT energy (no corrections) (eV per atom): -4.634
Formation energy from raw total energies (meV per atom): -798
Spin magnetization (μB per cell): 0.00
D(E_F) (states/eV per atom): 0.44
V (Å³/cell): 351.17



# 11
The following is a DFT calculation (PBE-GGA) of a geometry-optimized Rb4Tm3InTe8 structure.

Structure (POSCAR):
```
Rb4Tm3InTe8
1.0
8.973 0.000 0.000
0.000 9.975 0.698
-4.487 -4.484 6.349
Rb Tm In Te
4 3 1 8
Direct
0.500 0.000 0.000 Rb
0.500 0.000 0.500 Rb
0.000 0.000 0.000 Rb
0.000 0.000 0.500 Rb
0.500 0.500 0.000 Tm
0.500 0.500 0.500 Tm
0.000 0.500 0.500 Tm
0.000 0.500 0.000 In
0.231 0.695 0.964 Te
0.231 0.695 0.463 Te
0.268 0.303 0.535 Te
0.733 0.695 0.964 Te
0.267 0.305 0.036 Te
0.732 0.697 0.465 Te
0.769 0.305 0.537 Te
0.769 0.305 0.036 Te
```

Properties
Total DFT energy (no corrections) (eV per atom): -3.975
Formation energy from raw total energies (meV per atom): -1152
Spin magnetization (μB per cell): 0.00
D(E_F) (states/eV per atom): 0.14
V (Å³/cell): 596.33



# 12
The following is a DFT calculation (PBE-GGA) of a geometry-optimized TiPN3 structure.

Structure (POSCAR):
```
TiPN3
1.0
-0.675 -1.948 1.894
3.503 -4.976 -3.870
4.094 1.526 3.029
P Ti N
2 2 6
Direct
0.572 0.884 0.525 P
0.572 0.501 0.726 P
0.072 0.294 0.192 Ti
0.072 0.892 0.012 Ti
0.572 0.410 0.436 N
0.572 0.736 0.746 N
0.072 0.000 0.608 N
0.572 0.796 0.232 N
0.572 0.113 0.078 N
0.072 0.449 0.882 N
```

Properties
Total DFT energy (no corrections) (eV per atom): -8.403
Formation energy from raw total energies (meV per atom): -746
Spin magnetization (μB per cell): 0.00
D(E_F) (states/eV per atom): 0.00
V (Å³/cell): 106.44



# 13
The following is a DFT calculation (PBE-GGA) of a geometry-optimized SmH4Rh3 structure.

Structure (POSCAR):
```
SmH4Rh3
1.0
-4.332 -1.318 3.024
0.868 -5.271 -1.054
3.182 -0.357 4.403
Sm H Rh
2 8 6
Direct
0.000 0.000 0.000 Sm
0.500 0.500 0.500 Sm
0.250 0.250 0.250 H
0.250 0.750 0.250 H
0.250 0.250 0.750 H
0.250 0.750 0.750 H
0.750 0.250 0.250 H
0.750 0.250 0.750 H
0.750 0.750 0.250 H
0.750 0.750 0.750 H
0.000 0.500 0.250 Rh
0.000 0.500 0.750 Rh
0.250 0.000 0.500 Rh
0.500 0.250 0.000 Rh
0.500 0.750 0.000 Rh
0.750 0.000 0.500 Rh
```

Properties
Total DFT energy (no corrections) (eV per atom): -5.294
Spin magnetization (μB per cell): 0.00
D(E_F) (states/eV per atom): 0.63
V (Å³/cell): 161.39



# 14
The following is a DFT calculation (PBE-GGA) of a geometry-optimized Ca2CrN3 structure.

Structure (POSCAR):
```
Ca2CrN3
1.0
5.915 -0.001 0.000
-3.358 4.870 0.000
0.000 0.000 11.666
Ca Cr N
8 4 12
Direct
0.550 0.450 0.642 Ca
0.450 0.550 0.358 Ca
0.950 0.050 0.142 Ca
0.050 0.950 0.858 Ca
0.858 0.142 0.580 Ca
0.142 0.858 0.420 Ca
0.642 0.358 0.080 Ca
0.358 0.642 0.920 Ca
0.745 0.255 0.839 Cr
0.255 0.745 0.161 Cr
0.755 0.245 0.339 Cr
0.245 0.755 0.661 Cr
0.844 0.156 0.962 N
0.156 0.844 0.038 N
0.656 0.344 0.462 N
0.344 0.656 0.538 N
0.581 0.419 0.867 N
0.419 0.581 0.133 N
0.919 0.081 0.367 N
0.081 0.919 0.633 N
0.538 0.962 0.750 N
0.962 0.538 0.250 N
0.462 0.038 0.250 N
0.038 0.462 0.750 N
```

Properties
Total DFT energy (no corrections) (eV per atom): -7.395
Formation energy from raw total energies (meV per atom): -961
Spin magnetization (μB per cell): 1.12
D(E_F) (states/eV per atom): 0.36
V (Å³/cell): 336.00



# 15
The following is a DFT calculation (PBE-GGA) of a geometry-optimized ReNi2Se structure.

Structure (POSCAR):
```
ReNi2Se
1.0
-4.068 0.159 -1.602
-4.169 -0.331 1.287
-0.886 4.380 0.712
Ni Re Se
2 1 1
Direct
0.012 0.012 0.970 Ni
0.754 0.754 0.779 Ni
0.497 0.497 0.500 Re
0.237 0.237 0.251 Se
```

Properties
Total DFT energy (no corrections) (eV per atom): -6.564
Formation energy from raw total energies (meV per atom): 310
Spin magnetization (μB per cell): 0.00
D(E_F) (states/eV per atom): 0.94
V (Å³/cell): 53.91



# 16
The following is a DFT calculation (PBE-GGA) of a geometry-optimized TiTl3I structure.

Structure (POSCAR):
```
TiTl3I
1.0
5.670 0.000 0.000
0.000 5.670 0.000
0.000 0.000 5.670
I Tl Ti
1 3 1
Direct
0.500 0.500 0.500 I
0.000 0.500 0.000 Tl
0.000 0.000 0.500 Tl
0.500 0.000 0.000 Tl
0.000 0.000 0.000 Ti
```

Properties
Total DFT energy (no corrections) (eV per atom): -3.054
Formation energy from raw total energies (meV per atom): 255
Spin magnetization (μB per cell): 3.87
D(E_F) (states/eV per atom): 0.79
V (Å³/cell): 182.33



# 17
The following is a DFT calculation (PBE-GGA) of a geometry-optimized TbLuInAg structure.

Structure (POSCAR):
```
TbLuInAg
1.0
-0.395 -5.173 -0.485
4.140 -2.802 -1.469
2.378 -3.127 3.424
Lu Tb Ag In
1 1 1 1
Direct
0.000 0.000 0.000 Lu
0.500 0.500 0.500 Tb
0.750 0.750 0.750 Ag
0.250 0.250 0.250 In
```

Properties
Total DFT energy (no corrections) (eV per atom): -4.076
ΔH_f (0 K) (eV/atom): -0.39
Spin magnetization (μB per cell): 0.00
D(E_F) (states/eV per atom): 0.67
V (Å³/cell): 100.03



# 18
The following is a DFT calculation (PBE-GGA) of a geometry-optimized KGeBiSe3 structure.

Structure (POSCAR):
```
KGeBiSe3
1.0
-3.898 1.228 -0.060
-2.596 -8.250 -0.124
0.892 3.363 10.840
K Ge Bi Se
2 2 2 6
Direct
0.250 0.247 0.292 K
0.750 0.753 0.708 K
0.250 0.123 0.558 Ge
0.750 0.877 0.442 Ge
0.250 0.641 0.155 Bi
0.750 0.359 0.845 Bi
0.750 0.908 0.232 Se
0.250 0.092 0.768 Se
0.250 0.669 0.423 Se
0.750 0.331 0.577 Se
0.750 0.387 0.109 Se
0.250 0.613 0.891 Se
```

Properties
Total DFT energy (no corrections) (eV per atom): -3.944
Formation energy from raw total energies (meV per atom): -602
Spin magnetization (μB per cell): 0.00
V (Å³/cell): 381.45



# 19
The following is a DFT calculation (PBE-GGA) of a geometry-optimized Sm2Dy5Tl5 structure.

Structure (POSCAR):
```
Sm2Dy5Tl5
1.0
5.044 0.000 0.000
-2.522 6.041 -0.301
0.000 -3.436 11.910
Sm Dy Tl
2 5 5
Direct
0.066 0.131 0.765 Sm
0.934 0.869 0.235 Sm
0.500 0.000 0.500 Dy
0.652 0.305 0.010 Dy
0.653 0.306 0.293 Dy
0.347 0.694 0.707 Dy
0.348 0.695 0.990 Dy
0.154 0.307 0.470 Tl
0.738 0.476 0.788 Tl
0.262 0.524 0.212 Tl
0.846 0.693 0.530 Tl
0.000 0.000 0.000 Tl
```

Properties
Total DFT energy (no corrections) (eV per atom): -3.904
ΔH_f (0 K) (eV/atom): -0.21
Spin magnetization (μB per cell): 0.00
D(E_F) (states/eV per atom): 0.90
V (Å³/cell): 357.64



# 20
The following is a DFT calculation (PBE-GGA) of a geometry-optimized MnCu2W structure.

Structure (POSCAR):
```
MnCu2W
1.0
2.562 0.000 0.000
0.000 4.044 0.000
0.000 0.000 4.939
Cu Mn W
2 1 1
Direct
0.000 0.000 0.006 Cu
0.000 0.000 0.494 Cu
0.500 0.500 0.250 Mn
0.500 0.500 0.750 W
```

Properties
Total DFT energy (no corrections) (eV per atom): -7.240
ΔH_f (0 K) (eV/atom): 0.34
Spin magnetization (μB per cell): 0.08
D(E_F) (states/eV per atom): 0.55
V (Å³/cell): 51.17